(1)
## Sr3Ca (SCAN)

Data for a PBEsol-optimized structure of Sr3Ca.

Lattice parameters (Å, degrees): 6.467 6.467 4.584 90.00 90.00 90.00
Space group P4/mmm (No. 123)
Unique sites:
Sr (0.000, 0.000, 0.000) x1
Sr (0.000, 0.500, 0.500) x2
Ca (0.500, 0.500, 0.000) x1

Formation enthalpy at 0 K (eV per atom): 0.012
DOS(E_F) (states/eV per cell): 2.7

***

(2)
## Sr3Ca (SCAN)

Data for a PBEsol-optimized structure of Sr3Ca.

Lattice parameters (Å, degrees): 13.612 4.111 7.099 90.00 100.25 90.00
Space group C2/m (No. 12)
Unique sites:
Sr (0.000, 0.000, 0.000) x2
Sr (0.247, 0.000, 0.745) x4
Ca (0.000, 0.500, 0.500) x2

Formation enthalpy at 0 K (eV per atom): 0.014
DOS(E_F) (states/eV per cell): 6.8

***

(3)
## Sr2Ca (SCAN)

Data for a PBEsol-optimized structure of Sr2Ca.

Lattice parameters (Å, degrees): 15.166 4.077 9.721 90.00 105.89 90.00
Space group Cm (No. 8)
Unique sites:
Sr (0.000, 0.000, 0.000) x2
Sr (0.055, 0.000, 0.607) x2
Sr (0.224, 0.500, 0.941) x2
Sr (0.385, 0.000, 0.280) x2
Ca (0.168, 0.500, 0.338) x2
Ca (0.330, 0.000, 0.660) x2

ΔE to the lowest computed polymorph (eV per atom): 0.002
Formation enthalpy at 0 K (eV per atom): 0.015
DOS(E_F) (states/eV per cell): 11.6

***

- formation enthalpy at 0 K of number 2 (Sr3Ca)?
  0.014 eV per atom